Computed, not measured: a relaxed structure of Zr2Cd2Pt3 at the PBE-GGA level of DFT.

Cell lengths 4.720, 4.716, 7.745 Å; angles 90.06, 108.00, 119.95 degrees
Atoms (fractional coordinates):
Cd (0.734, 0.867, 0.604)
Cd (0.266, 0.133, 0.396)
Pt (0.000, 0.000, 0.000)
Pt (0.478, 0.740, 0.216)
Pt (0.522, 0.260, 0.784)
Zr (0.228, 0.613, 0.843)
Zr (0.772, 0.387, 0.157)

## Properties
Formation energy ... -0.747 eV per atom
Volume ... 139.51 Å³/cell
Space-group type ... P-1 (2)